Record 1
First-principles (PBE) data for an optimized crystal structure of Rb3Tl2PdO6, as listed in the Alexandria database.

```
Rb3Tl2PdO6
1.0
3.120 -5.113 0.000
3.120 5.113 0.000
-2.229 0.000 6.339
Rb Tl Pd O
3 2 1 6
Cartesian
0.000 0.000 0.000
3.120 1.714 0.000
3.120 -1.714 0.000
2.005 3.418 3.169
2.005 -3.418 3.169
2.005 0.000 3.169
1.111 1.548 2.076
-0.136 0.000 4.394
1.111 -1.548 2.076
2.899 1.548 4.263
4.147 0.000 1.944
2.899 -1.548 4.263
```

SG: No. 12
Total DFT energy (no corrections) in eV for the cell shown: -53.056
Uncorrected formation energy in eV/f.u.: -10.48
Magnetization in μB per cell: 1.00

=====

Record 2
First-principles (PBE) data for an optimized crystal structure of Tb5BiRu, as listed in the Alexandria database.

```
Tb5BiRu
1.0
5.495 -3.454 0.000
5.495 3.454 0.000
-3.535 0.000 10.905
Tb Bi Ru
10 2 2
Cartesian
0.105 1.298 6.966
2.844 3.237 8.179
0.771 1.160 10.462
1.873 -1.298 1.514
4.916 1.160 5.896
2.538 -1.160 5.010
5.582 1.298 9.392
6.684 -1.160 0.443
4.611 -3.237 2.726
7.350 -1.298 3.939
4.611 0.229 2.726
2.844 -0.229 8.179
0.000 0.000 0.000
-1.768 0.000 5.453
```

Formation energy from the elements in eV/atom: -0.228
SG: No. 15
Total DFT energy (no corrections) in eV for the cell shown: -75.808
Magnetization in μB per cell: 0.00

=====

Record 3
First-principles (PBE) data for an optimized crystal structure of SrCrMo2, as listed in the Alexandria database.

```
SrCrMo2
1.0
3.239 0.000 0.000
0.000 3.239 0.000
0.000 0.000 7.849
Sr Cr Mo
1 1 2
Cartesian
0.000 0.000 0.000
1.619 1.619 2.576
0.000 0.000 3.988
1.619 1.619 5.359
```

Formation energy from the elements in eV/atom: 0.666
SG: No. 99
Total DFT energy (no corrections) in eV for the cell shown: -30.305
Magnetization in μB per cell: 3.11
Energy relative to the lowest polymorph listed for this composition in meV per atom: 0

=====

Record 4
First-principles (PBE) data for an optimized crystal structure of Hf3Tc2, as listed in the Alexandria database.

```
Hf3Tc2
1.0
3.280 0.000 0.000
0.000 3.280 0.000
0.000 0.000 17.077
Hf Tc
6 4
Cartesian
0.000 0.000 0.000
0.000 0.000 3.242
0.000 0.000 6.428
0.000 0.000 10.649
0.000 0.000 13.835
1.640 1.640 8.539
1.640 1.640 1.628
1.640 1.640 4.929
1.640 1.640 12.149
1.640 1.640 15.449
```

Formation energy from the elements in eV/atom: -0.385
SG: No. 123
Total DFT energy (no corrections) in eV for the cell shown: -105.032
Magnetization in μB per cell: 0.00

=====

Record 5
First-principles (PBE) data for an optimized crystal structure of Hf2MgHg, as listed in the Alexandria database.

```
Hf2MgHg
1.0
-4.021 4.021 2.847
4.021 -4.021 2.847
4.021 4.021 -2.847
Hf Mg Hg
4 2 2
Cartesian
2.011 1.867 -0.712
2.154 -2.011 3.559
2.011 2.154 2.135
1.867 6.032 0.712
4.021 0.000 1.423
0.000 0.000 2.847
0.000 0.000 0.000
0.000 4.021 1.423
```

Formation energy from the elements in eV/atom: 0.432
SG: No. 122
Total DFT energy (no corrections) in eV for the cell shown: -40.152
Magnetization in μB per cell: 0.00
Energy relative to the lowest polymorph listed for this composition in meV per atom: 523

=====

Record 6
First-principles (PBE) data for an optimized crystal structure of MnBeBr, as listed in the Alexandria database.

```
MnBeBr
1.0
-1.595 1.595 5.795
1.595 -1.595 5.795
1.595 1.595 -5.795
Mn Be Br
1 1 1
Cartesian
0.000 0.000 0.000
0.000 0.000 4.829
0.000 0.000 7.383
```

SG: No. 107
Total DFT energy (no corrections) in eV for the cell shown: -13.253
Uncorrected formation energy in eV/f.u.: 1.32
Magnetization in μB per cell: 3.81
Energy relative to the lowest polymorph listed for this composition in meV per atom: 8

=====

Please write out number 6 again, unchanged.
First-principles (PBE) data for an optimized crystal structure of MnBeBr, as listed in the Alexandria database.

```
MnBeBr
1.0
-1.595 1.595 5.795
1.595 -1.595 5.795
1.595 1.595 -5.795
Mn Be Br
1 1 1
Cartesian
0.000 0.000 0.000
0.000 0.000 4.829
0.000 0.000 7.383
```

SG: No. 107
Total DFT energy (no corrections) in eV for the cell shown: -13.253
Uncorrected formation energy in eV/f.u.: 1.32
Magnetization in μB per cell: 3.81
Energy relative to the lowest polymorph listed for this composition in meV per atom: 8

=====

The highest magnetization belongs to which entry? MnBeBr